[1]
AlHg3Os | GGA-PBE | optimized geometry

Cell lengths 5.077, 5.077, 5.077 Å; angles 90.00, 90.00, 90.00 degrees
Site moments in Bohr magnetons follow the coordinates.
Element x y z (fractional)
Hg  0.000  0.500  0.000  0.00
Hg  0.000  0.000  0.500  0.04
Al  0.000  0.000  0.000  0.02
Os  0.500  0.500  0.500  2.85
Hg  0.500  0.000  0.000  0.02

The energy relative to the lowest polymorph listed for this composition comes out at 0.500 eV/atom.

=====

[2]
TaSnCl2 | GGA-PBE | optimized geometry

Cell lengths 12.464, 12.464, 12.464 Å; angles 14.50, 14.50, 14.50 degrees
Element x y z (fractional)
Sn  0.000  0.000  0.000
Ta  0.500  0.500  0.500
Cl  0.118  0.118  0.118
Cl  0.882  0.882  0.882

The formation energy from raw total energies is -0.49 eV/atom. The energy relative to the lowest polymorph listed for this composition comes out at 0.000 eV/atom.

=====

[3]
Sc4Pd7Pt | GGA-PBE | optimized geometry

Cell lengths 5.638, 6.520, 6.386 Å; angles 82.87, 65.51, 101.22 degrees
Element x y z (fractional)
Sc  0.816  0.691  0.800
Pt  0.000  0.000  0.000
Pd  0.008  0.337  0.675
Sc  0.184  0.309  0.200
Pd  0.992  0.663  0.325
Sc  0.512  0.297  0.650
Pd  0.500  0.000  0.000
Pd  0.710  0.348  0.160
Pd  0.251  0.007  0.497
Sc  0.488  0.703  0.350
Pd  0.290  0.652  0.840
Pd  0.749  0.993  0.503

The raw total energy is -6.466 eV/atom.

=====

[4]
LiCeDySc | GGA-PBE | optimized geometry

Cell lengths 5.335, 5.335, 5.335 Å; angles 60.00, 60.00, 60.00 degrees
Site moments in Bohr magnetons follow the coordinates.
Element x y z (fractional)
Ce  0.000  0.000  0.000  0.75
Sc  0.250  0.250  0.250  0.15
Dy  0.500  0.500  0.500  0.08
Li  0.750  0.750  0.750  -0.01

The raw total energy is -4.481 eV/atom.

=====

[5]
Rb2CeNbO6 | GGA-PBE | optimized geometry

Cell lengths 6.312, 6.312, 10.992 Å; angles 73.31, 73.31, 60.00 degrees
Site moments in Bohr magnetons follow the coordinates.
Element x y z (fractional)
O  0.824  0.401  0.374  0.21
O  0.270  0.810  0.110  0.13
O  0.599  0.176  0.626  0.21
Nb  0.500  0.500  0.500  -0.10
O  0.810  0.270  0.110  0.13
O  0.190  0.190  0.890  0.13
O  0.176  0.599  0.626  0.21
O  0.190  0.730  0.890  0.13
Rb  0.133  0.133  0.601  0.00
Ce  0.402  0.402  0.795  -0.06
O  0.599  0.599  0.626  0.21
O  0.730  0.190  0.890  0.13
O  0.401  0.824  0.374  0.21
Rb  0.277  0.277  0.170  0.00
O  0.810  0.810  0.110  0.13
O  0.401  0.401  0.374  0.21
Nb  0.000  0.000  0.000  -0.05
Ce  0.598  0.598  0.205  -0.06
Rb  0.867  0.867  0.399  0.00
Rb  0.723  0.723  0.830  0.00

The formation energy from raw total energies is -2.32 eV/atom.

=====

[6]
RbAc2Cd | GGA-PBE | optimized geometry

Cell lengths 4.044, 4.044, 13.684 Å; angles 81.50, 81.50, 60.00 degrees
Element x y z (fractional)
Ac  0.105  0.105  0.686
Cd  0.500  0.500  0.500
Ac  0.895  0.895  0.314
Rb  0.000  0.000  0.000

The raw total energy is -2.390 eV/atom.

=====

[7]
FeCoBr2 | GGA-PBE | optimized geometry

Cell lengths 4.603, 4.603, 4.603 Å; angles 60.00, 60.00, 60.00 degrees
Site moments in Bohr magnetons follow the coordinates.
Element x y z (fractional)
Br  0.250  0.250  0.250  0.14
Br  0.750  0.750  0.750  0.14
Fe  0.000  0.000  0.000  3.01
Co  0.500  0.500  0.500  1.79

The formation energy from raw total energies is 0.67 eV/atom. The energy relative to the lowest polymorph listed for this composition comes out at 0.685 eV/atom.

=====

[8]
KHfAg2F8 | GGA-PBE | optimized geometry

Cell lengths 5.002, 5.489, 7.548 Å; angles 87.84, 89.47, 93.37 degrees
Site moments in Bohr magnetons follow the coordinates.
Element x y z (fractional)
F  0.835  0.195  0.187  0.01
F  0.165  0.805  0.813  0.01
F  0.840  0.196  0.804  0.00
Ag  0.524  0.506  0.259  0.31
F  0.316  0.254  0.990  0.03
Ag  0.476  0.494  0.741  0.31
F  0.434  0.272  0.496  0.16
K  0.000  0.000  0.500  0.00
F  0.160  0.804  0.196  0.00
F  0.684  0.746  0.010  0.03
F  0.566  0.728  0.504  0.16
Hf  0.000  0.000  0.000  0.00

The formation energy from raw total energies is -2.52 eV/atom.

=====

Question: Number 7 is which compound?
Answer: FeCoBr2